# TlReO6 (GGA-PBE, relaxed)
data_TlReO6
_space_group_name_H-M_alt 'R -3 m'
_space_group_IT_number 166
_space_group_name_Hall '-R 3 2"'
_cell_length_a 6.6997
_cell_length_b 6.6997
_cell_length_c 7.6505
_cell_angle_alpha 90.00
_cell_angle_beta 90.00
_cell_angle_gamma 120.00
loop_
_atom_site_label
_atom_site_type_symbol
_atom_site_fract_x
_atom_site_fract_y
_atom_site_fract_z
Tl1 Tl 0.0000 0.0000 0.0000
Re1 Re 0.0000 0.0000 0.5000
O1 O 0.0728 0.5364 0.3147
# **Energy**: -0.224 hartree per atom
# **Formation energy from raw total energies**: -0.5118 eV/atom
# **DOS at the Fermi energy**: 15.009 states/eV/cell
# **Calculated volume**: 12.4 Å³ per atom
# **M_tot**: 1.2 μB/f.u.

=====

# SrCd2InCo (GGA-PBE, relaxed)
data_SrCd2InCo
_space_group_name_H-M_alt 'P 4/m m m'
_space_group_IT_number 123
_space_group_name_Hall '-P 4 2'
_cell_length_a 5.0785
_cell_length_b 5.0785
_cell_length_c 4.9438
_cell_angle_alpha 90.00
_cell_angle_beta 90.00
_cell_angle_gamma 90.00
loop_
_atom_site_label
_atom_site_type_symbol
_atom_site_fract_x
_atom_site_fract_y
_atom_site_fract_z
Sr1 Sr 0.0000 0.0000 0.0000
Cd1 Cd 0.0000 0.5000 0.5000
In1 In 0.5000 0.5000 0.0000
Co1 Co 0.5000 0.5000 0.5000
# **Energy**: -0.102 hartree per atom
# **DOS at the Fermi energy**: 2.780 states/eV/cell
# **Calculated volume**: 25.5 Å³ per atom
# **M_tot**: 0.0 μB/f.u.

=====

# Ho5In2Co (GGA-PBE, relaxed)
data_Ho5In2Co
_space_group_name_H-M_alt 'I 4 m m'
_space_group_IT_number 107
_space_group_name_Hall 'I 4 -2'
_cell_length_a 6.9296
_cell_length_b 6.9296
_cell_length_c 8.9426
_cell_angle_alpha 90.00
_cell_angle_beta 90.00
_cell_angle_gamma 90.00
loop_
_atom_site_label
_atom_site_type_symbol
_atom_site_fract_x
_atom_site_fract_y
_atom_site_fract_z
Ho1 Ho 0.0000 0.0000 0.0000
Ho2 Ho 0.2469 0.2469 0.2684
In1 In 0.0000 0.5000 0.0225
Co1 Co 0.0000 0.0000 0.6623
# **Energy**: -0.169 hartree per atom
# **Excess energy over the best structure of this formula in the dataset**: 0.140 eV per atom
# **DOS at the Fermi energy**: 12.814 states/eV/cell
# **Calculated volume**: 26.8 Å³ per atom
# **M_tot**: 0.0 μB/f.u.

=====

# PrY4Cd2 (GGA-PBE, relaxed)
data_PrY4Cd2
_space_group_name_H-M_alt 'R -3 m'
_space_group_IT_number 166
_space_group_name_Hall '-R 3 2"'
_cell_length_a 5.1127
_cell_length_b 5.1127
_cell_length_c 31.2975
_cell_angle_alpha 90.00
_cell_angle_beta 90.00
_cell_angle_gamma 120.00
loop_
_atom_site_label
_atom_site_type_symbol
_atom_site_fract_x
_atom_site_fract_y
_atom_site_fract_z
Pr1 Pr 0.0000 0.0000 0.0000
Y1 Y 0.0000 0.0000 0.2023
Y2 Y 0.0000 0.0000 0.3951
Cd1 Cd 0.0000 0.0000 0.1013
# **Energy**: -0.164 hartree per atom
# **DOS at the Fermi energy**: 32.631 states/eV/cell
# **Calculated volume**: 33.7 Å³ per atom
# **M_tot**: 0.9 μB/f.u.

=====

# SrAsS2O8 (GGA-PBE, relaxed)
data_SrAsS2O8
_space_group_name_H-M_alt 'R -3'
_space_group_IT_number 148
_space_group_name_Hall '-R 3'
_cell_length_a 4.9103
_cell_length_b 4.9103
_cell_length_c 23.3801
_cell_angle_alpha 90.00
_cell_angle_beta 90.00
_cell_angle_gamma 120.00
loop_
_atom_site_label
_atom_site_type_symbol
_atom_site_fract_x
_atom_site_fract_y
_atom_site_fract_z
Sr1 Sr 0.0000 0.0000 0.0000
As1 As 0.0000 0.0000 0.5000
S1 S 0.0000 0.0000 0.2545
O1 O 0.0000 0.0000 0.3185
O2 O 0.0104 0.2951 0.7652
# **Energy**: -0.219 hartree per atom
# **Formation energy from raw total energies**: -1.4375 eV/atom
# **DOS at the Fermi energy**: 20.537 states/eV/cell
# **Calculated volume**: 13.6 Å³ per atom
# **M_tot**: 1.0 μB/f.u.

=====

# GaRuC2 (GGA-PBE, relaxed)
data_GaRuC2
_space_group_name_H-M_alt 'I -4 2 d'
_space_group_IT_number 122
_space_group_name_Hall 'I -4 2bw'
_cell_length_a 4.6903
_cell_length_b 4.6903
_cell_length_c 9.2190
_cell_angle_alpha 90.00
_cell_angle_beta 90.00
_cell_angle_gamma 90.00
loop_
_atom_site_label
_atom_site_type_symbol
_atom_site_fract_x
_atom_site_fract_y
_atom_site_fract_z
Ga1 Ga 0.0000 0.0000 0.0000
Ru1 Ru 0.0000 0.0000 0.5000
C1 C 0.2272 0.2500 0.6250
# **Energy**: -0.254 hartree per atom
# **DOS at the Fermi energy**: 9.682 states/eV/cell
# **Calculated volume**: 12.7 Å³ per atom
# **M_tot**: 0.0 μB/f.u.

=====

# Pu3Ge2Os (GGA-PBE, relaxed)
data_Pu3Ge2Os
_space_group_name_H-M_alt 'C 1 2/c 1'
_space_group_IT_number 15
_space_group_name_Hall '-C 2yc'
_cell_length_a 16.6829
_cell_length_b 5.4068
_cell_length_c 5.6366
_cell_angle_alpha 90.00
_cell_angle_beta 95.15
_cell_angle_gamma 90.00
loop_
_atom_site_label
_atom_site_type_symbol
_atom_site_fract_x
_atom_site_fract_y
_atom_site_fract_z
Pu1 Pu 0.0000 0.0964 0.2500
Pu2 Pu 0.1582 0.4951 0.9847
Ge1 Ge 0.1755 0.0019 0.7254
Os1 Os 0.0000 0.4260 0.7500
# **Energy**: -0.396 hartree per atom
# **Excess energy over the best structure of this formula in the dataset**: 0.109 eV per atom
# **DOS at the Fermi energy**: 74.717 states/eV/cell
# **Calculated volume**: 21.1 Å³ per atom
# **M_tot**: 14.7 μB/f.u.

=====

# CaZnAu3 (GGA-PBE, relaxed)
data_CaZnAu3
_space_group_name_H-M_alt 'P n m a'
_space_group_IT_number 62
_space_group_name_Hall '-P 2ac 2n'
_cell_length_a 8.9688
_cell_length_b 4.8314
_cell_length_c 9.3706
_cell_angle_alpha 90.00
_cell_angle_beta 90.00
_cell_angle_gamma 90.00
loop_
_atom_site_label
_atom_site_type_symbol
_atom_site_fract_x
_atom_site_fract_y
_atom_site_fract_z
Ca1 Ca 0.2376 0.2500 0.0025
Zn1 Zn 0.0940 0.2500 0.6638
Au1 Au 0.0810 0.2500 0.3876
Au2 Au 0.1033 0.7500 0.8443
Au3 Au 0.1141 0.7500 0.1524
# **Energy**: -0.114 hartree per atom
# **Excess energy over the best structure of this formula in the dataset**: 0.000 eV per atom
# **DOS at the Fermi energy**: 7.631 states/eV/cell
# **Calculated volume**: 20.3 Å³ per atom
# **M_tot**: 0.0 μB/f.u.

=====

# NaLaAs2Au2 (GGA-PBE, relaxed)
data_NaLaAs2Au2
_space_group_name_H-M_alt 'P -3 m 1'
_space_group_IT_number 164
_space_group_name_Hall '-P 3 2"'
_cell_length_a 4.4754
_cell_length_b 4.4754
_cell_length_c 8.0945
_cell_angle_alpha 90.00
_cell_angle_beta 90.00
_cell_angle_gamma 120.00
loop_
_atom_site_label
_atom_site_type_symbol
_atom_site_fract_x
_atom_site_fract_y
_atom_site_fract_z
Na1 Na 0.0000 0.0000 0.0000
La1 La 0.0000 0.0000 0.5000
As1 As 0.3333 0.6667 0.7314
Au1 Au 0.3333 0.6667 0.2403
# **Energy**: -0.163 hartree per atom
# **DOS at the Fermi energy**: 0.373 states/eV/cell
# **Calculated volume**: 23.4 Å³ per atom
# **M_tot**: 0.0 μB/f.u.

=====

# Mg5Ga2Pb (GGA-PBE, relaxed)
data_Mg5Ga2Pb
_space_group_name_H-M_alt 'I 4/m c m'
_space_group_IT_number 140
_space_group_name_Hall '-I 4 2c'
_cell_length_a 7.2624
_cell_length_b 7.2624
_cell_length_c 13.5330
_cell_angle_alpha 90.00
_cell_angle_beta 90.00
_cell_angle_gamma 90.00
loop_
_atom_site_label
_atom_site_type_symbol
_atom_site_fract_x
_atom_site_fract_y
_atom_site_fract_z
Mg1 Mg 0.0000 0.0000 0.0000
Mg2 Mg 0.1626 0.3374 0.1430
Ga1 Ga 0.1291 0.3709 0.5000
Pb1 Pb 0.0000 0.0000 0.2500
# **Energy**: -0.085 hartree per atom
# **DOS at the Fermi energy**: 8.796 states/eV/cell
# **Calculated volume**: 22.3 Å³ per atom
# **M_tot**: 0.0 μB/f.u.

=====

# Tl2Cd2F (GGA-PBE, relaxed)
data_Tl2Cd2F
_space_group_name_H-M_alt 'P 4/m b m'
_space_group_IT_number 127
_space_group_name_Hall '-P 4 2ab'
_cell_length_a 7.1807
_cell_length_b 7.1807
_cell_length_c 5.3220
_cell_angle_alpha 90.00
_cell_angle_beta 90.00
_cell_angle_gamma 90.00
loop_
_atom_site_label
_atom_site_type_symbol
_atom_site_fract_x
_atom_site_fract_y
_atom_site_fract_z
Tl1 Tl 0.1762 0.3238 0.0000
Cd1 Cd 0.1524 0.6524 0.5000
F1 F 0.0000 0.0000 0.0000
# **Energy**: -0.081 hartree per atom
# **Formation energy from raw total energies**: -0.5077 eV/atom
# **Excess energy over the best structure of this formula in the dataset**: 0.000 eV per atom
# **DOS at the Fermi energy**: 4.771 states/eV/cell
# **Calculated volume**: 27.4 Å³ per atom
# **M_tot**: 0.0 μB/f.u.

=====

# CsNaSn2Cl6 (GGA-PBE, relaxed)
data_CsNaSn2Cl6
_space_group_name_H-M_alt 'C 1 2/c 1'
_space_group_IT_number 15
_space_group_name_Hall '-C 2yc'
_cell_length_a 11.8885
_cell_length_b 15.3557
_cell_length_c 10.2450
_cell_angle_alpha 90.00
_cell_angle_beta 119.25
_cell_angle_gamma 90.00
loop_
_atom_site_label
_atom_site_type_symbol
_atom_site_fract_x
_atom_site_fract_y
_atom_site_fract_z
Cs1 Cs 0.0000 0.0965 0.2500
Na1 Na 0.0000 0.2200 0.7500
Sn1 Sn 0.1380 0.4174 0.1976
Cl1 Cl 0.1120 0.0985 0.6482
Cl2 Cl 0.1184 0.2814 0.0446
Cl3 Cl 0.1670 0.4664 0.5381
# **Energy**: -0.128 hartree per atom
# **Formation energy from raw total energies**: -1.3502 eV/atom
# **DOS at the Fermi energy**: 0.000 states/eV/cell
# **Calculated volume**: 40.8 Å³ per atom
# **M_tot**: 0.0 μB/f.u.

=====

# SrReW2 (GGA-PBE, relaxed)
data_SrReW2
_space_group_name_H-M_alt 'C 1 2/m 1'
_space_group_IT_number 12
_space_group_name_Hall '-C 2y'
_cell_length_a 5.7834
_cell_length_b 9.7572
_cell_length_c 2.7165
_cell_angle_alpha 90.00
_cell_angle_beta 107.65
_cell_angle_gamma 90.00
loop_
_atom_site_label
_atom_site_type_symbol
_atom_site_fract_x
_atom_site_fract_y
_atom_site_fract_z
Sr1 Sr 0.0000 0.0000 0.0000
Re1 Re 0.0000 0.5000 0.0000
W1 W 0.2500 0.2500 0.5000
# **Energy**: -0.327 hartree per atom
# **Excess energy over the best structure of this formula in the dataset**: 0.371 eV per atom
# **DOS at the Fermi energy**: 7.360 states/eV/cell
# **Calculated volume**: 18.3 Å³ per atom
# **M_tot**: 0.0 μB/f.u.

=====

# NaRuRh (GGA-PBE, relaxed)
data_NaRuRh
_space_group_name_H-M_alt 'C 1 m 1'
_space_group_IT_number 8
_space_group_name_Hall 'C -2y'
_cell_length_a 9.1101
_cell_length_b 2.7377
_cell_length_c 8.9611
_cell_angle_alpha 90.00
_cell_angle_beta 113.31
_cell_angle_gamma 90.00
loop_
_atom_site_label
_atom_site_type_symbol
_atom_site_fract_x
_atom_site_fract_y
_atom_site_fract_z
Na1 Na 0.0000 0.0000 0.0000
Na2 Na 0.1746 0.5000 0.8039
Ru1 Ru 0.1698 0.5000 0.3278
Ru2 Ru 0.3217 0.0000 0.5842
Rh1 Rh 0.0054 0.0000 0.4812
Rh2 Rh 0.3459 0.0000 0.2043
# **Energy**: -0.205 hartree per atom
# **Excess energy over the best structure of this formula in the dataset**: 0.098 eV per atom
# **DOS at the Fermi energy**: 15.433 states/eV/cell
# **Calculated volume**: 17.1 Å³ per atom
# **M_tot**: 0.0 μB/f.u.